[1]
Material: Hf2ZrNi3As4Pd
Method: DFT, GGA-PBE
State: relaxed

Calculated values
Calculated total energy in eV/atom: -7.03
Crystal system: monoclinic

```
data_Hf2ZrNi3As4Pd
_cell_length_a 6.4667
_cell_length_b 3.8338
_cell_length_c 7.3958
_cell_angle_alpha 90.00
_cell_angle_beta 90.73
_cell_angle_gamma 90.00
_space_group_name_H-M_alt 'P 1 m 1'
_space_group_IT_number 6
_space_group_name_Hall 'P -2y'
loop_
_atom_site_label
_atom_site_fract_x
_atom_site_fract_y
_atom_site_fract_z
Hf1 0.0000 0.0000 0.0000
Hf2 0.4481 0.5000 0.4904
Zr1 0.9397 0.5000 0.6278
Ni1 0.3376 0.5000 0.8640
Ni2 0.6244 0.0000 0.7504
Ni3 0.8483 0.5000 0.2449
As1 0.2450 0.0000 0.6983
As2 0.2571 0.5000 0.1716
As3 0.7047 0.5000 0.9410
As4 0.7183 0.0000 0.4141
Pd1 0.1162 0.0000 0.3689
```

=====

[2]
Material: Lu2MgFe
Method: DFT, GGA-PBE
State: relaxed

Calculated values
Calculated total energy in eV/atom: -4.42
Crystal system: cubic

```
data_Lu2MgFe
_cell_length_a 6.9425
_cell_length_b 6.9425
_cell_length_c 6.9425
_cell_angle_alpha 90.00
_cell_angle_beta 90.00
_cell_angle_gamma 90.00
_space_group_name_H-M_alt 'F -4 3 m'
_space_group_IT_number 216
_space_group_name_Hall 'F -4 2 3'
loop_
_atom_site_label
_atom_site_fract_x
_atom_site_fract_y
_atom_site_fract_z
Lu1 0.0000 0.0000 0.0000
Lu2 0.2500 0.2500 0.2500
Mg1 0.0000 0.0000 0.5000
Fe1 0.2500 0.2500 0.7500
```

=====

[3]
Material: RbHfRe
Method: DFT, GGA-PBE
State: relaxed

Calculated values
Calculated total energy in eV/atom: -4.74
Crystal system: cubic

```
data_RbHfRe
_cell_length_a 6.5975
_cell_length_b 6.5975
_cell_length_c 6.5975
_cell_angle_alpha 90.00
_cell_angle_beta 90.00
_cell_angle_gamma 90.00
_space_group_name_H-M_alt 'F -4 3 m'
_space_group_IT_number 216
_space_group_name_Hall 'F -4 2 3'
loop_
_atom_site_label
_atom_site_fract_x
_atom_site_fract_y
_atom_site_fract_z
Rb1 0.0000 0.0000 0.0000
Hf1 0.2500 0.2500 0.7500
Re1 0.2500 0.2500 0.2500
```

=====

[4]
Material: CuAs5Pt3
Method: DFT, GGA-PBE
State: relaxed

Calculated values
Calculated total energy in eV/atom: -4.75
Crystal system: hexagonal

```
data_CuAs5Pt3
_cell_length_a 5.7899
_cell_length_b 5.7899
_cell_length_c 6.6966
_cell_angle_alpha 90.00
_cell_angle_beta 90.00
_cell_angle_gamma 120.00
_space_group_name_H-M_alt 'P 6/m m m'
_space_group_IT_number 191
_space_group_name_Hall '-P 6 2'
loop_
_atom_site_label
_atom_site_fract_x
_atom_site_fract_y
_atom_site_fract_z
Cu1 0.0000 0.0000 0.0000
As1 0.0000 0.0000 0.5000
As2 0.3333 0.6667 0.2148
Pt1 0.0000 0.5000 0.5000
```

=====

[5]
Material: Y4Ni3W2N3
Method: DFT, GGA-PBE
State: relaxed

Calculated values
Calculated total energy in eV/atom: -8.39
Crystal system: monoclinic

```
data_Y4Ni3W2N3
_cell_length_a 9.9547
_cell_length_b 5.7925
_cell_length_c 13.4295
_cell_angle_alpha 90.00
_cell_angle_beta 105.08
_cell_angle_gamma 90.00
_space_group_name_H-M_alt 'C 1 2/c 1'
_space_group_IT_number 15
_space_group_name_Hall '-C 2yc'
loop_
_atom_site_label
_atom_site_fract_x
_atom_site_fract_y
_atom_site_fract_z
Y1 0.1225 0.0768 0.1146
Y2 0.2065 0.0902 0.3858
Ni1 0.0000 0.1804 0.7500
Ni2 0.1178 0.4672 0.2476
W1 0.0612 0.4123 0.9282
N1 0.0796 0.2595 0.4997
N2 0.2500 0.2500 0.0000
```

=====

[6]
Material: Lu4NiAgIr2
Method: DFT, GGA-PBE
State: relaxed

Calculated values
Calculated total energy in eV/atom: -6.25
Crystal system: tetragonal
Energy of formation in meV/atom: -729.0

```
data_Lu4NiAgIr2
_cell_length_a 4.7855
_cell_length_b 4.7855
_cell_length_c 6.7886
_cell_angle_alpha 90.00
_cell_angle_beta 90.00
_cell_angle_gamma 90.00
_space_group_name_H-M_alt 'P 4/m m m'
_space_group_IT_number 123
_space_group_name_Hall '-P 4 2'
loop_
_atom_site_label
_atom_site_fract_x
_atom_site_fract_y
_atom_site_fract_z
Lu1 0.0000 0.5000 0.2413
Ni1 0.0000 0.0000 0.0000
Ag1 0.5000 0.5000 0.5000
Ir1 0.0000 0.0000 0.5000
Ir2 0.5000 0.5000 0.0000
```

=====

> The highest calculated total energy belongs to which entry?

Lu2MgFe